1.
An optimized crystal structure of MnCrTcPd. Source: Alexandria, functional GGA-PBE.

a = 2.6509 Å, b = 2.6509 Å, c = 7.4379 Å
α = 90.00°, β = 90.00°, γ = 90.00°
Last column: nearest neighbours and their distance in Å.
Fractional coordinates of all 4 atoms:
Mn 0.0000 0.0000 0.3228  4 Cr 2.48, 4 Tc 2.55, 4 Mn 2.65
Pd 0.0000 0.0000 0.8035  4 Pd 2.65, 4 Cr 2.70, 4 Tc 2.84
Cr 0.5000 0.5000 0.5413  4 Mn 2.48, 4 Cr 2.65, 4 Pd 2.70
Tc 0.5000 0.5000 0.0904  4 Mn 2.55, 4 Tc 2.65, 4 Pd 2.84

Values from the calculation:
**Calculated total energy**: -8.4933 eV/atom
**SG**: P4mm (99)

***

2.
An optimized crystal structure of La6Pr4Cd. Source: Alexandria, functional GGA-PBE.

a = 9.6779 Å, b = 9.6779 Å, c = 9.6779 Å
α = 59.19°, β = 139.12°, γ = 139.12°
Last column: nearest neighbours and their distance in Å.
Fractional coordinates of all 11 atoms:
La 0.5000 0.5000 0.0000  4 La 3.20, 2 Cd 3.38
La 0.0000 0.7740 0.4561  3 La 3.04-3.20
La 0.3179 0.5439 0.5439  3 La 3.04-3.20
Pr 0.3563 0.3605 0.3605  1 Pr 3.41, 3 La 3.41-3.61, 1 Cd 3.51
Cd 0.0000 0.0000 0.0000  4 La 3.38, 4 Pr 3.51
Pr 0.0000 0.6395 0.9958  1 Pr 3.41, 3 La 3.41-3.61, 1 Cd 3.51
Pr 0.6437 0.0042 0.0042  1 Pr 3.41, 3 La 3.41-3.61, 1 Cd 3.51
La 0.0000 0.4561 0.7740  3 La 3.04-3.20
Pr 0.0000 0.9958 0.6395  1 Pr 3.41, 3 La 3.41-3.61, 1 Cd 3.51
La 0.5000 0.0000 0.5000  4 La 3.20, 2 Cd 3.38
La 0.6821 0.2260 0.2260  3 La 3.04-3.20

Values from the calculation:
**Calculated total energy**: -4.3627 eV/atom
**SG**: I-42m (121)

***

3.
An optimized crystal structure of Nd2MgCdHg4. Source: Alexandria, functional GGA-PBE.

a = 5.1911 Å, b = 5.1911 Å, c = 8.9686 Å
α = 73.18°, β = 73.18°, γ = 60.00°
Last column: nearest neighbours and their distance in Å.
Fractional coordinates of all 8 atoms:
Mg 0.5000 0.5000 0.5000  8 Hg 3.09-3.16
Hg 0.8727 0.8727 0.3820  3 Mg 3.16, 4 Nd 3.17-3.22, 1 Cd 3.23
Cd 0.0000 0.0000 0.0000  8 Hg 3.21-3.23
Hg 0.1273 0.1273 0.6180  3 Mg 3.16, 4 Nd 3.17-3.22, 1 Cd 3.23
Nd 0.2523 0.2523 0.2431  8 Hg 3.13-3.22
Hg 0.3782 0.3782 0.8653  1 Mg 3.09, 4 Nd 3.13-3.19, 3 Cd 3.21
Hg 0.6218 0.6218 0.1347  1 Mg 3.09, 4 Nd 3.13-3.19, 3 Cd 3.21
Nd 0.7477 0.7477 0.7569  8 Hg 3.13-3.22

Values from the calculation:
**Calculated total energy**: -2.1011 eV/atom
**SG**: R-3m (166)

***

4.
An optimized crystal structure of Sm4Er3Tm. Source: Alexandria, functional GGA-PBE.

a = 5.6219 Å, b = 3.6148 Å, c = 13.2127 Å
α = 89.99°, β = 102.28°, γ = 90.00°
Last column: nearest neighbours and their distance in Å.
Fractional coordinates of all 8 atoms:
Er 0.0000 0.5000 0.0000  4 Tm 3.34, 2 Er 3.61
Sm 0.6021 0.4998 0.2042  1 Sm 3.11, 2 Tm 3.20
Sm 0.2774 0.4997 0.5549  3 Sm 3.11-3.15
Sm 0.3979 0.5002 0.7958  1 Sm 3.11, 2 Tm 3.20
Er 0.8486 0.0000 0.6972  10 Sm 3.58-3.81, 2 Er 3.61
Sm 0.7226 0.5003 0.4451  3 Sm 3.11-3.15
Er 0.1514 0.0000 0.3028  10 Sm 3.58-3.81, 2 Er 3.61
Tm 0.5000 0.0000 0.0000  4 Sm 3.20, 4 Er 3.34

Values from the calculation:
**Calculated total energy**: -4.4393 eV/atom
**SG**: Cmmm (65)

***

5.
An optimized crystal structure of CdSi2Ni. Source: Alexandria, functional GGA-PBE.

a = 4.8880 Å, b = 4.8880 Å, c = 4.8880 Å
α = 133.05°, β = 133.05°, γ = 68.57°
Last column: nearest neighbours and their distance in Å.
Fractional coordinates of all 4 atoms:
Cd 0.2500 0.7500 0.5000  4 Ni 2.75, 8 Si 2.81
Si 0.5000 0.5000 0.0000  4 Si 2.75, 4 Ni 2.81, 4 Cd 2.81
Si 0.0000 0.0000 0.0000  4 Si 2.75, 4 Cd 2.81, 4 Ni 2.81
Ni 0.7500 0.2500 0.5000  4 Cd 2.75, 8 Si 2.81

Values from the calculation:
**Uncorrected formation energy**: 0.35 eV per atom
**SG**: I4/mmm (139)

***

6.
An optimized crystal structure of Tl2Bi2IrO6. Source: Alexandria, functional GGA-PBE.

a = 5.9382 Å, b = 5.9382 Å, c = 6.7219 Å
α = 97.11°, β = 97.11°, γ = 117.80°
Last column: nearest neighbours and their distance in Å.
Fractional coordinates of all 11 atoms:
O 0.8022 0.8022 0.7039  1 Ir 2.04
Bi 0.3368 0.6632 0.5000  4 O 2.28-2.40
Bi 0.6632 0.3368 0.5000  4 O 2.28-2.40
O 0.6602 0.9697 0.3475  1 Ir 2.06, 1 Bi 2.28
O 0.1978 0.1978 0.2961  1 Ir 2.04
Tl 0.1657 0.8343 0.0000  4 O 2.67-2.83
O 0.0303 0.3398 0.6525  1 Ir 2.06, 1 Bi 2.28
Ir 0.0000 0.0000 0.5000  6 O 2.04-2.06
O 0.3398 0.0303 0.6525  1 Ir 2.06, 1 Bi 2.28
O 0.9697 0.6602 0.3475  1 Ir 2.06, 1 Bi 2.28
Tl 0.8343 0.1657 0.0000  4 O 2.67-2.83

Values from the calculation:
**Uncorrected formation energy**: -0.82 eV per atom
**SG**: C2/m (12)

***

7.
An optimized crystal structure of BaTeBr2. Source: Alexandria, functional GGA-PBE.

a = 11.1195 Å, b = 11.1195 Å, c = 11.1195 Å
α = 25.17°, β = 25.17°, γ = 25.17°
Last column: nearest neighbours and their distance in Å.
Fractional coordinates of all 4 atoms:
Te 0.0000 0.0000 0.0000  2 Br 3.76
Ba 0.5000 0.5000 0.5000  6 Br 3.24
Br 0.8837 0.8837 0.8837  3 Ba 3.24
Br 0.1163 0.1163 0.1163  3 Ba 3.24

Values from the calculation:
**Uncorrected formation energy**: -1.09 eV per atom
**SG**: R-3m (166)

***

8.
An optimized crystal structure of Mg8InHg2. Source: Alexandria, functional GGA-PBE.

a = 5.2486 Å, b = 7.6666 Å, c = 7.6666 Å
α = 118.16°, β = 99.83°, γ = 99.83°
Last column: nearest neighbours and their distance in Å.
Fractional coordinates of all 11 atoms:
Hg 0.0000 0.3040 0.6960  8 Mg 2.82-2.99
Mg 0.5000 0.7741 0.2259  2 Hg 2.82, 1 In 2.97
Mg 0.1239 0.0900 0.3203  2 Hg 2.82-2.92, 2 Mg 3.03-3.06
Mg 0.7009 0.3980 0.3980  1 In 2.96, 2 Hg 2.99, 4 Mg 3.01-3.27
Mg 0.1239 0.3203 0.0900  2 Hg 2.82-2.92, 2 Mg 3.03-3.06
Mg 0.5000 0.2259 0.7741  2 Hg 2.82, 1 In 2.97
Mg 0.8761 0.9100 0.6797  2 Hg 2.82-2.92, 2 Mg 3.03-3.06
Mg 0.2991 0.6020 0.6020  1 In 2.96, 2 Hg 2.99, 4 Mg 3.01-3.27
Mg 0.8761 0.6797 0.9100  2 Hg 2.82-2.92, 2 Mg 3.03-3.06
In 0.5000 0.0000 0.0000  8 Mg 2.96-3.30
Hg 0.0000 0.6960 0.3040  8 Mg 2.82-2.99

Values from the calculation:
**Calculated total energy**: -1.5478 eV/atom
**SG**: C2/m (12)